[1]
First-principles (GGA-PBEsol) data for crystalline Sc2TeMoAs at its relaxed geometry, as listed in Alexandria.

Properties
**E_form (uncorrected)**: -0.14 kcal/mol of atoms
**Density of states at the Fermi level**: 5.969 states/eV per cell
**Total moment**: 0.02 μB/cell

abc: 4.6054 4.9826 4.9826
angles: 90.00 90.00 90.00
Sites, in units of the cell vectors:
Sc (0.0000, 0.5000, 0.0000)
Sc (0.0000, 0.0000, 0.5000)
Te (0.5000, 0.5000, 0.5000)
As (0.0000, 0.0000, 0.0000)
Mo (0.5000, 0.0000, 0.0000)

***

[2]
First-principles (GGA-PBEsol) data for crystalline Sc2Al2Pd at its relaxed geometry, as listed in Alexandria.

Properties
**Energy of formation**: -13.831 kcal/mol of atoms
**Density of states at the Fermi level**: 8.131 states/eV per cell
**Total moment**: 0.00 μB/cell

abc: 4.2160 6.5986 6.5986
angles: 90.00 90.00 90.00
Sites, in units of the cell vectors:
Pd (0.0000, 0.0000, 0.0000)
Al (0.0000, 0.6388, 0.1388)
Sc (0.5000, 0.3339, 0.1661)
Al (0.0000, 0.3612, 0.8612)
Sc (0.5000, 0.1661, 0.6661)
Pd (0.0000, 0.5000, 0.5000)
Al (0.0000, 0.1388, 0.3612)
Sc (0.5000, 0.8339, 0.3339)
Sc (0.5000, 0.6661, 0.8339)
Al (0.0000, 0.8612, 0.6388)

***

[3]
First-principles (GGA-PBEsol) data for crystalline CaIr2Os at its relaxed geometry, as listed in Alexandria.

Properties
**Energy of formation**: 6.766 kcal/mol of atoms
**Density of states at the Fermi level**: 4.655 states/eV per cell
**Total moment**: 0.00 μB/cell

abc: 2.7174 3.9857 6.1379
angles: 90.00 90.00 90.00
Sites, in units of the cell vectors:
Os (0.0000, 0.0000, 0.4408)
Ir (0.0000, 0.0000, 0.0306)
Ca (0.5000, 0.5000, 0.7579)
Ir (0.5000, 0.5000, 0.2708)

***

[4]
First-principles (GGA-PBEsol) data for crystalline InPb2 at its relaxed geometry, as listed in Alexandria.

Properties
**Energy of formation**: 1.616 kcal/mol of atoms
**Density of states at the Fermi level**: 3.448 states/eV per cell
**Total moment**: 0.00 μB/cell

abc: 6.1155 6.1440 6.1440
angles: 75.66 60.15 60.15
Sites, in units of the cell vectors:
In (0.2500, 0.0000, 0.0000)
Pb (0.1533, 0.5000, 0.1934)
Pb (0.6533, 0.1934, 0.5000)
Pb (0.3467, 0.8066, 0.5000)
In (0.7500, 0.0000, 0.0000)
Pb (0.8467, 0.5000, 0.8066)

***

[5]
First-principles (GGA-PBEsol) data for crystalline KNaTe3 at its relaxed geometry, as listed in Alexandria.

Properties
**E_form (uncorrected)**: -0.76 kcal/mol of atoms
**Density of states at the Fermi level**: 5.199 states/eV per cell
**Total moment**: 0.00 μB/cell

abc: 5.5772 5.5772 5.5772
angles: 90.00 90.00 90.00
Sites, in units of the cell vectors:
Na (0.0000, 0.0000, 0.0000)
Te (0.5000, 0.0000, 0.0000)
Te (0.0000, 0.5000, 0.0000)
Te (0.0000, 0.0000, 0.5000)
K (0.5000, 0.5000, 0.5000)

***

[6]
First-principles (GGA-PBEsol) data for crystalline Cr2CoTc at its relaxed geometry, as listed in Alexandria.

Properties
**Energy of formation**: 3.619 kcal/mol of atoms
**Density of states at the Fermi level**: 5.286 states/eV per cell
**Total moment**: 0.44 μB/cell

abc: 2.4608 4.0228 4.7937
angles: 90.00 99.38 90.00
Sites, in units of the cell vectors:
Cr (0.7026, 0.0000, 0.7349)
Tc (0.5000, 0.5000, 0.0000)
Co (0.0000, 0.5000, 0.5000)
Cr (0.2974, 0.0000, 0.2651)

***

> The lowest density of states at the Fermi level belongs to which entry?

InPb2